# 1
VASP calculation (GGA-PBE) on EuNpRh4 after structural relaxation.

Calculated values
Total magnetic moment in μB/f.u.: 10.0
DFT formation energy in eV per atom: -0.3821

abc: 7.5717 7.5717 7.5717
angles: 90.00 90.00 90.00
With the nearest neighbours (Å) after each atom.
Space group F-43m (No. 216)
Inequivalent atoms, fractional coordinates:
1 Eu 0.0000 0.0000 0.0000 (multiplicity 4)  12 Rh 3.14, 4 Np 3.28
2 Np 0.2500 0.2500 0.7500 (multiplicity 4)  12 Rh 3.14, 4 Eu 3.28
3 Rh 0.1248 0.1248 0.3752 (multiplicity 16)  6 Rh 2.67-2.68

---

# 2
VASP calculation (GGA-PBE) on EuNpSe2 after structural relaxation.

Calculated values
Total magnetic moment in μB/f.u.: 2.1
E_form (uncorrected) in kJ/mol of formula units: -319

abc: 4.2379 4.2379 26.6393
angles: 90.00 90.00 120.00
With the nearest neighbours (Å) after each atom.
Space group R-3m (No. 166, hexagonal axes)
Inequivalent atoms, fractional coordinates:
1 Eu 0.0000 0.0000 0.0000 (multiplicity 3)  6 Se 2.98
2 Np 0.0000 0.0000 0.5000 (multiplicity 3)  2 Se 2.74
3 Se 0.0000 0.0000 0.3973 (multiplicity 6)  1 Np 2.74, 3 Eu 2.98

---

# 3
VASP calculation (GGA-PBE) on EuNpSi2 after structural relaxation.

Calculated values
Total magnetic moment in μB/f.u.: 10.9
E_form (uncorrected) in kJ/mol of formula units: -27

abc: 7.0420 7.0420 7.0420
angles: 90.00 90.00 90.00
With the nearest neighbours (Å) after each atom.
Space group Fm-3m (No. 225)
Inequivalent atoms, fractional coordinates:
1 Eu 0.0000 0.0000 0.0000 (multiplicity 4)  8 Si 3.05
2 Np 0.0000 0.0000 0.5000 (multiplicity 4)  8 Si 3.05
3 Si 0.2500 0.2500 0.2500 (multiplicity 8)  4 Np 3.05, 4 Eu 3.05

---

# 4
VASP calculation (GGA-PBE) on Eu3OsO7 after structural relaxation.

Calculated values
Total magnetic moment in μB/f.u.: 6.1
E_form (uncorrected) in kJ/mol of formula units: -2415

abc: 11.0035 7.6336 7.5589
angles: 90.00 90.00 90.00
With the nearest neighbours (Å) after each atom.
Space group Cmcm (No. 63)
Inequivalent atoms, fractional coordinates:
1 Eu 0.0000 0.0000 0.0000 (multiplicity 4)  4 O 2.41
2 Eu 0.2405 0.2718 0.2500 (multiplicity 8)  6 O 2.29-2.44
3 Os 0.0000 0.5000 0.0000 (multiplicity 4)  6 O 1.90-1.94
4 O 0.0000 0.4691 0.2500 (multiplicity 4)  2 Os 1.90
5 O 0.1227 0.3187 0.5191 (multiplicity 16)  1 Os 1.94
6 O 0.1350 0.0132 0.2500 (multiplicity 8)  4 Eu 2.29-2.41

---

Q: The highest total magnetic moment belongs to which entry?
A: EuNpSi2

---

Please write out number 2 again, unchanged.
VASP calculation (GGA-PBE) on EuNpSe2 after structural relaxation.

Calculated values
Total magnetic moment in μB/f.u.: 2.1
E_form (uncorrected) in kJ/mol of formula units: -319

abc: 4.2379 4.2379 26.6393
angles: 90.00 90.00 120.00
With the nearest neighbours (Å) after each atom.
Space group R-3m (No. 166, hexagonal axes)
Inequivalent atoms, fractional coordinates:
1 Eu 0.0000 0.0000 0.0000 (multiplicity 3)  6 Se 2.98
2 Np 0.0000 0.0000 0.5000 (multiplicity 3)  2 Se 2.74
3 Se 0.0000 0.0000 0.3973 (multiplicity 6)  1 Np 2.74, 3 Eu 2.98

---

Q: Which of these has the highest total magnetic moment?
A: EuNpSi2